[1]
Here is an optimized crystal structure of VNiIr2 from Alexandria. Energies are from PBE.

Geometry as POSCAR:
```
VNiIr2
1.0
-2.558 -3.110 -1.281
0.934 -2.205 -3.482
1.244 -4.026 0.319
Ni Ir V
1 2 1
direct
0.500 0.500 0.500 Ni
0.750 0.750 0.750 Ir
0.250 0.250 0.250 Ir
0.000 0.000 0.000 V
```

Summary:
Magnetic moment in μB/f.u.: 0.0
Space-group type: No. 225
Calculated formation energy in meV/atom: -221.5

***

[2]
Here is an optimized crystal structure of BaZn2Sn from Alexandria. Energies are from PBE.

Geometry as POSCAR:
```
BaZn2Sn
1.0
-3.470 -1.133 1.325
2.457 -2.416 4.370
-1.106 5.223 1.570
Zn Sn Ba
2 1 1
direct
0.500 0.120 0.514 Zn
0.500 0.486 0.880 Zn
0.500 0.600 0.400 Sn
0.000 0.009 0.991 Ba
```

Summary:
Magnetic moment in μB/f.u.: 0.0
Space-group type: No. 38
Calculated formation energy in meV/atom: -123.2

***

Number 1: E -8.377 eV/atom. Number 2: E -2.242 eV/atom.